No. 1
Here is crystalline HfZrIr3 at its relaxed geometry from Alexandria. Energies are from PBE.

Values from the calculation:
E above lowest polymorph	0	meV per atom
DFT formation energy	0.835	eV per atom
VASP energy	-8.182	eV/atom

Geometry as extended XYZ:
```
5
Lattice="-1.3054 -4.5906 0.0027 2.7030 -0.7709 -3.8571 3.7105 -1.0534 2.8108" Properties=species:S:1:pos:R:3 pbc="T T T"
Zr 2.5541 -3.2075 -0.5218
Ir 1.8552 -0.5267 1.4054
Ir 1.3515 -0.3854 -1.9286
Hf 0.0000 0.0000 0.0000
Ir -0.6527 -2.2953 0.0013
```



No. 2
Here is crystalline Hf2ZrIr at its relaxed geometry from Alexandria. Energies are from PBE.

Values from the calculation:
E above lowest polymorph	0	meV per atom
DFT formation energy	-0.504	eV per atom
VASP energy	-9.833	eV/atom

Geometry as extended XYZ:
```
8
Lattice="3.4489 0.0000 0.0000 -1.7239 5.6935 0.0000 0.0000 0.0000 8.4824" Properties=species:S:1:pos:R:3 pbc="T T T"
Hf 0.0007 4.1545 4.6705
Zr 1.7255 5.0455 2.1206
Hf 0.0007 4.1545 8.0531
Ir 0.0007 2.6523 2.1206
Ir 1.7243 3.0412 6.3618
Hf 1.7243 1.5389 0.4293
Hf 1.7243 1.5389 3.8119
Zr -0.0005 0.6480 6.3618
```



No. 3
Here is crystalline HfZrIr2 at its relaxed geometry from Alexandria. Energies are from PBE.

Values from the calculation:
DFT formation energy	-0.342	eV per atom
VASP energy	-9.398	eV/atom

Geometry as extended XYZ:
```
8
Lattice="7.2207 0.0000 0.0000 0.0000 7.2207 0.0000 3.6103 3.6103 2.9503" Properties=species:S:1:pos:R:3 pbc="T T T"
Hf 0.0000 0.0000 0.0000
Ir 5.4536 1.8052 0.7376
Zr 3.6103 3.6103 0.0000
Ir 1.7671 5.4155 0.7376
Hf 7.2207 3.6103 1.4752
Ir 5.4155 5.3774 2.2128
Zr 3.6103 7.2207 1.4752
Ir 9.0258 9.0639 2.2128
```



No. 4
Here is crystalline Hf2ZrIr at its relaxed geometry from Alexandria. Energies are from PBE.

Values from the calculation:
E above lowest polymorph	26	meV per atom
DFT formation energy	-0.478	eV per atom
VASP energy	-9.807	eV/atom

Geometry as extended XYZ:
```
16
Lattice="5.9385 0.0000 0.0000 0.0000 6.2255 0.0000 0.0000 0.0000 9.1479" Properties=species:S:1:pos:R:3 pbc="T T T"
Ir 0.5820 2.4113 2.2870
Ir 3.5513 0.7014 6.8609
Zr 0.9427 6.0749 6.8609
Zr 2.0266 2.9622 6.8609
Hf 0.8339 4.3735 4.0955
Ir 5.3565 3.8142 6.8609
Ir 2.3872 5.5240 2.2870
Zr 4.9958 0.1505 2.2870
Zr 3.9120 3.2633 2.2870
Hf 5.1046 1.8520 5.0525
Hf 0.8339 4.3735 0.4785
Hf 2.1354 1.2607 0.4785
Hf 3.8032 4.9648 8.6694
Hf 5.1046 1.8520 8.6694
Hf 2.1354 1.2607 4.0955
Hf 3.8032 4.9648 5.0525
```